Below is a relaxed structure of P2PbCl, with properties calculated at the PBE-GGA level.

a = 6.9849 Å, b = 6.9849 Å, c = 6.9849 Å
α = 151.85°, β = 130.21°, γ = 58.17°
With the nearest neighbours (Å) after each atom.
Positions (direct):
P1 0.0000 0.0000 0.0000  2 P 2.21
P2 0.8836 0.3836 0.5000  2 P 2.21
Pb1 0.4293 0.9293 0.5000  2 Cl 2.73
Cl1 0.6049 0.6049 0.0000  2 Pb 2.73

Computed properties:
Uncorrected energy = -4.23 eV per atom
Calculated density = 4.15 Mg/m³